# 1
Al2InMo2: optimized geometry, PBE-GGA.

Unit cell a=6.9505 b=6.9505 c=3.3917 alpha=90.00 beta=90.00 gamma=90.00
Fractional positions:
Mo 0.1705 0.6705 0.5000
Mo 0.6705 0.8295 0.5000
Mo 0.8295 0.3295 0.5000
Mo 0.3295 0.1705 0.5000
Al 0.3738 0.8738 0.0000
Al 0.8738 0.6262 0.0000
Al 0.6262 0.1262 0.0000
Al 0.1262 0.3738 0.0000
In 0.0000 0.0000 0.0000
In 0.5000 0.5000 0.0000

- Polymorph energy (0 for the lowest one): 0.000 eV/atom
- Formation energy from the elements: 64.3 meV/atom
- Space group: No. 127


# 2
PrNdPS: optimized geometry, PBE-GGA.

Unit cell a=4.1360 b=4.1360 c=7.2024 alpha=73.31 beta=73.31 gamma=60.00
Fractional positions:
Pr 0.4415 0.4415 0.6756
Nd 0.9467 0.9467 0.1598
P 0.6933 0.6933 0.9202
S 0.1949 0.1949 0.4152

- Energy: -26.43 eV per formula unit
- Space group: No. 160


# 3
ZrGe2I: optimized geometry, PBE-GGA.

Unit cell a=4.5525 b=4.5525 c=10.6537 alpha=77.66 beta=77.66 gamma=90.00
Fractional positions:
I 0.0000 0.0000 0.0000
I 0.7500 0.2500 0.5000
Ge 0.4886 0.1250 0.2500
Ge 0.2614 0.6250 0.2500
Ge 0.3750 0.5114 0.7500
Ge 0.8750 0.7386 0.7500
Zr 0.5000 0.5000 0.0000
Zr 0.2500 0.7500 0.5000

- Polymorph energy (0 for the lowest one): 0.000 eV/atom
- Space group: No. 122


# 4
La5Dy2ErTm: optimized geometry, PBE-GGA.

Unit cell a=8.1117 b=8.1117 c=11.3224 alpha=110.99 beta=110.99 gamma=90.00
Fractional positions:
La 0.9232 0.4232 0.2723
La 0.6509 0.1509 0.7277
La 0.0768 0.5768 0.7277
La 0.1509 0.0768 0.7277
La 0.5768 0.6509 0.7277
La 0.8491 0.9232 0.2723
La 0.4232 0.3491 0.2723
La 0.3491 0.8491 0.2723
La 0.5000 0.5000 0.0000
La 0.0000 0.0000 0.0000
Dy 0.1288 0.3712 0.0000
Dy 0.6288 0.1288 0.0000
Dy 0.3712 0.8712 0.0000
Dy 0.8712 0.6288 0.0000
Er 0.2500 0.7500 0.5000
Er 0.7500 0.2500 0.5000
Tm 0.2500 0.2500 0.5000
Tm 0.7500 0.7500 0.5000

- Formation energy from the elements: 297.3 meV/atom
- Space group: No. 140


# 5
TmGa2Ge: optimized geometry, PBE-GGA.

Unit cell a=4.0804 b=4.0804 c=9.3004 alpha=90.00 beta=90.00 gamma=90.00
Fractional positions:
Tm 0.0000 0.5000 0.2404
Tm 0.5000 0.0000 0.7596
Ga 0.0000 0.0000 0.5000
Ga 0.5000 0.5000 0.5000
Ga 0.0000 0.5000 0.7071
Ga 0.5000 0.0000 0.2929
Ge 0.0000 0.0000 0.0000
Ge 0.5000 0.5000 0.0000

- Polymorph energy (0 for the lowest one): 0.025 eV/atom
- Formation energy from the elements: -451.9 meV/atom
- Space group: No. 129


# 6
CdIn4TeAs4: optimized geometry, PBE-GGA.

Unit cell a=14.8402 b=14.8402 c=14.8402 alpha=164.01 beta=164.01 gamma=22.69
Fractional positions:
Cd 0.0000 0.0000 0.0000
In 0.3932 0.3932 0.0000
In 0.8008 0.8008 0.0000
In 0.1992 0.1992 0.0000
In 0.6068 0.6068 0.0000
Te 0.5000 0.5000 0.0000
As 0.8978 0.8978 0.0000
As 0.2964 0.2964 0.0000
As 0.7036 0.7036 0.0000
As 0.1022 0.1022 0.0000

- Energy: -34.15 eV per formula unit
- Space group: No. 139


# 7
PrZn12Cu4: optimized geometry, PBE-GGA.

Unit cell a=7.4078 b=7.4078 c=7.4078 alpha=109.47 beta=109.47 gamma=109.47
Fractional positions:
Pr 0.0000 0.0000 0.0000
Zn 0.8402 0.3519 0.1921
Zn 0.3519 0.5117 0.1598
Zn 0.8079 0.1598 0.6481
Zn 0.3519 0.1921 0.8402
Zn 0.1921 0.8402 0.3519
Zn 0.6481 0.4883 0.8402
Zn 0.5117 0.1598 0.3519
Zn 0.4883 0.8402 0.6481
Zn 0.6481 0.8079 0.1598
Zn 0.8402 0.6481 0.4883
Zn 0.1598 0.3519 0.5117
Zn 0.1598 0.6481 0.8079
Cu 0.0000 0.5000 0.0000
Cu 0.5000 0.0000 0.0000
Cu 0.5000 0.5000 0.5000
Cu 0.0000 0.0000 0.5000

- Formation energy from the elements: 144.7 meV/atom
- Space group: No. 204


# 8
Ca3HgGe: optimized geometry, PBE-GGA.

Unit cell a=5.6882 b=5.6882 c=5.6882 alpha=90.00 beta=90.00 gamma=90.00
Fractional positions:
Ge 0.0000 0.0000 0.0000
Ca 0.0000 0.5000 0.0000
Ca 0.0000 0.0000 0.5000
Ca 0.5000 0.0000 0.0000
Hg 0.5000 0.5000 0.5000

- Polymorph energy (0 for the lowest one): 0.220 eV/atom
- Formation energy from the elements: -271.9 meV/atom
- Space group: No. 221